Record 1
YCo3S: relaxed, PBE-GGA.

Output
* E above lowest polymorph: 2073 meV per atom
* formation energy without anion corrections: 1.857 eV per atom
* size of the total moment: 3.8 Bohr magnetons per cell
* DFT total energy: -4.525 eV per atom
* density of states at the Fermi level: 10.4 states/eV per cell

abc: 4.7188 4.7188 4.7188
angles: 90.00 90.00 90.00
Closest atoms and distances in Å follow each position.
Fractional positions:
Y 0.0000 0.0000 0.0000  6 Co 2.36
Co 0.0000 0.0000 0.5000  2 Y 2.36
Co 0.0000 0.5000 0.0000  2 Y 2.36
Co 0.5000 0.0000 0.0000  2 Y 2.36
S 0.5000 0.5000 0.5000  12 Co 3.34


Record 2
YCoS: relaxed, PBE-GGA.

Output
* formation energy without anion corrections: -0.885 eV per atom
* size of the total moment: 2.4 Bohr magnetons per cell
* DFT total energy: -6.784 eV per atom
* density of states at the Fermi level: 2.5 states/eV per cell

abc: 10.5477 10.5477 10.5477
angles: 21.80 21.80 21.80
Closest atoms and distances in Å follow each position.
Fractional positions:
Y 0.0688 0.0688 0.0688  3 S 2.62
Y 0.9312 0.9312 0.9312  3 S 2.62
Co 0.3305 0.3305 0.3305  3 Co 2.31
Co 0.6695 0.6695 0.6695  3 Co 2.31
S 0.2239 0.2239 0.2239  3 Y 2.62
S 0.7761 0.7761 0.7761  3 Y 2.62